1.
PrTmNi8B2: optimized geometry, PBE.

Calculated values
The calculation puts the relative energy among the computed polymorphs at 0 meV/atom. For the total magnetic moment, the calculation gives 0.004 μB per cell. The space-group type is P6/mmm (191).

Cell lengths 5.016, 5.016, 7.001 Å; angles 90.00, 90.00, 120.00 degrees
Element x y z (fractional)
Tm 0.000 0.000 0.000
Ni 0.667 0.333 0.500
Ni 0.500 0.500 0.796
Ni 0.500 0.000 0.796
Ni 0.000 0.500 0.204
Ni 0.500 0.500 0.204
Ni 0.500 0.000 0.204
Ni 0.333 0.667 0.500
Ni 0.000 0.500 0.796
B 0.667 0.333 0.000
B 0.333 0.667 0.000
Pr 0.000 0.000 0.500

***

2.
CsHgSbSe3: optimized geometry, PBE.

Calculated values
The space-group type is Cmcm (63).

Cell lengths 8.382, 8.382, 11.202 Å; angles 90.00, 90.00, 149.92 degrees
Element x y z (fractional)
Se 0.058 0.942 0.250
Se 0.942 0.058 0.750
Se 0.619 0.381 0.538
Se 0.619 0.381 0.962
Se 0.381 0.619 0.038
Se 0.381 0.619 0.462
Sb 0.000 0.000 0.000
Sb 0.000 0.000 0.500
Cs 0.744 0.256 0.250
Cs 0.256 0.744 0.750
Hg 0.548 0.452 0.750
Hg 0.452 0.548 0.250

***

3.
Zr4ZnNiN2: optimized geometry, PBE.

Calculated values
For the total magnetic moment, the calculation gives 0.033 μB per cell. The space-group type is P-6m2 (187).

Cell lengths 3.267, 3.267, 13.565 Å; angles 90.00, 90.00, 120.00 degrees
Element x y z (fractional)
Zr 0.667 0.333 0.856
Zr 0.000 0.000 0.666
Zr 0.000 0.000 0.334
Zr 0.667 0.333 0.144
Zn 0.667 0.333 0.500
N 0.333 0.667 0.759
N 0.333 0.667 0.241
Ni 0.000 0.000 0.000

***

4.
TbDyAl6: optimized geometry, PBE.

Calculated values
For the total magnetic moment, the calculation gives 0.001 μB per cell. The space-group type is P-6m2 (187).

Cell lengths 6.291, 6.291, 4.604 Å; angles 90.00, 90.00, 120.00 degrees
Element x y z (fractional)
Tb 0.333 0.667 0.500
Al 0.814 0.628 0.500
Al 0.520 0.480 0.000
Al 0.520 0.040 0.000
Al 0.960 0.480 0.000
Al 0.372 0.186 0.500
Al 0.814 0.186 0.500
Dy 0.000 0.000 0.000

***

5.
Ho: optimized geometry, PBE.

Calculated values
The calculation puts the relative energy among the computed polymorphs at 19 meV/atom. For the total magnetic moment, the calculation gives 0.015 μB per cell. The space-group type is R-3m (166). As for the energy relative to the elements: 0.02 eV per atom.

Cell lengths 3.522, 3.522, 6.060 Å; angles 90.00, 106.89, 120.00 degrees
Element x y z (fractional)
Ho 0.500 0.750 0.250
Ho 0.500 0.250 0.750

***

6.
GdTmNb2Si2: optimized geometry, PBE.

Calculated values
For the total magnetic moment, the calculation gives 1.063 μB per cell. The space-group type is P4mm (99).

Cell lengths 4.002, 4.002, 7.762 Å; angles 90.00, 90.00, 90.00 degrees
Each line ends with the local moment (μB).
Element x y z (fractional)
Gd 0.000 0.000 0.356  0.29
Si 0.500 0.500 0.239  -0.01
Si 0.000 0.000 0.758  -0.01
Nb 0.000 0.500 0.998  0.06
Nb 0.500 0.000 0.998  0.05
Tm 0.500 0.500 0.649  0.33

***

7.
LiHfIn2: optimized geometry, PBE.

Calculated values
For the total magnetic moment, the calculation gives 0.265 μB per cell. The space-group type is F-43m (216).

Cell lengths 4.945, 4.945, 4.945 Å; angles 60.00, 60.00, 60.00 degrees
Each line ends with the local moment (μB).
Element x y z (fractional)
Hf 0.500 0.500 0.500  0.14
In 0.250 0.250 0.250  0.01
In 0.000 0.000 0.000  0.01
Li 0.750 0.750 0.750  0.01

***

8.
PuThB: optimized geometry, PBE.

Calculated values
The calculation puts the relative energy among the computed polymorphs at 910 meV/atom. For the total magnetic moment, the calculation gives 6.345 μB per cell. The space-group type is F-43m (216).

Cell lengths 4.425, 4.425, 4.425 Å; angles 60.00, 60.00, 60.00 degrees
Each line ends with the local moment (μB).
Element x y z (fractional)
Th 0.750 0.750 0.750  0.80
B 0.000 0.000 0.000  -0.11
Pu 0.500 0.500 0.500  5.62

***

Number 1: uncorrected energy -6.07 eV/atom. Number 2: uncorrected energy -3.15 eV/atom. Number 3: uncorrected energy -8.11 eV/atom. Number 4: uncorrected energy -4.40 eV/atom. Number 5: uncorrected energy -4.56 eV/atom. Number 6: uncorrected energy -7.32 eV/atom. Number 7: uncorrected energy -4.15 eV/atom. Number 8: uncorrected energy -8.38 eV/atom.